# CaPm2Y (PBE, relaxed)
data_CaPm2Y
_symmetry_space_group_name_H-M 'P 1'
_symmetry_Int_Tables_number 1
_symmetry_space_group_name_Hall 'P 1'
_cell_length_a 5.839
_cell_length_b 5.839
_cell_length_c 5.839
_cell_angle_alpha 60.00
_cell_angle_beta 60.00
_cell_angle_gamma 60.00
loop_
_atom_site_label
_atom_site_fract_x
_atom_site_fract_y
_atom_site_fract_z
Y1 0.500 0.500 0.500
Ca1 0.000 0.000 0.000
Pm1 0.250 0.250 0.250
Pm2 0.750 0.750 0.750
# M_tot	0.0	μB/f.u.
# DOS at the Fermi energy	6.735	states/eV/cell
# raw total energy	-0.3209	Ry/atom
# energy of formation from the pure elements	12	kJ per mole of atoms
# symmetry	Fm-3m
# calculated volume	35.186	A^3/atom
# energy relative to the lowest polymorph listed for this composition	0.087	eV per atom

=====

# CaPm8Y3 (PBE, relaxed)
data_CaPm8Y3
_symmetry_space_group_name_H-M 'P 1'
_symmetry_Int_Tables_number 1
_symmetry_space_group_name_Hall 'P 1'
_cell_length_a 8.686
_cell_length_b 8.686
_cell_length_c 8.686
_cell_angle_alpha 91.01
_cell_angle_beta 119.42
_cell_angle_gamma 119.42
loop_
_atom_site_label
_atom_site_fract_x
_atom_site_fract_y
_atom_site_fract_z
Ca1 0.000 0.000 0.000
Pm1 0.533 0.316 0.316
Pm2 0.467 0.783 0.783
Pm3 0.000 0.684 0.217
Pm4 0.000 0.217 0.684
Pm5 0.283 0.419 0.419
Pm6 0.717 0.136 0.136
Pm7 0.000 0.581 0.864
Pm8 0.000 0.864 0.581
Y1 0.500 0.750 0.250
Y2 0.500 0.250 0.750
Y3 0.000 0.500 0.500
# M_tot	0.0	μB/f.u.
# DOS at the Fermi energy	21.061	states/eV/cell
# raw total energy	-0.3182	Ry/atom
# energy of formation from the pure elements	60	kJ per mole of atoms
# symmetry	I-42m
# calculated volume	38.951	A^3/atom

=====

# CaPm14Y (PBE, relaxed)
data_CaPm14Y
_symmetry_space_group_name_H-M 'P 1'
_symmetry_Int_Tables_number 1
_symmetry_space_group_name_Hall 'P 1'
_cell_length_a 7.404
_cell_length_b 7.404
_cell_length_c 11.767
_cell_angle_alpha 90.00
_cell_angle_beta 90.00
_cell_angle_gamma 119.90
loop_
_atom_site_label
_atom_site_fract_x
_atom_site_fract_y
_atom_site_fract_z
Ca1 0.666 0.334 0.000
Pm1 0.667 0.333 0.500
Pm2 0.167 0.833 0.500
Pm3 0.167 0.336 0.000
Pm4 0.166 0.334 0.500
Pm5 0.664 0.833 0.000
Pm6 0.666 0.834 0.500
Pm7 0.328 0.164 0.749
Pm8 0.328 0.164 0.251
Pm9 0.836 0.672 0.749
Pm10 0.836 0.672 0.251
Pm11 0.836 0.164 0.748
Pm12 0.836 0.164 0.252
Pm13 0.334 0.666 0.753
Pm14 0.334 0.666 0.247
Y1 0.167 0.833 0.000
# M_tot	0.0	μB/f.u.
# DOS at the Fermi energy	26.937	states/eV/cell
# raw total energy	-0.3414	Ry/atom
# energy of formation from the pure elements	4	kJ per mole of atoms
# symmetry	Amm2
# calculated volume	34.953	A^3/atom

=====

# Ca2Pm5Y6 (PBE, relaxed)
data_Ca2Pm5Y6
_symmetry_space_group_name_H-M 'P 1'
_symmetry_Int_Tables_number 1
_symmetry_space_group_name_Hall 'P 1'
_cell_length_a 3.581
_cell_length_b 12.200
_cell_length_c 20.645
_cell_angle_alpha 90.00
_cell_angle_beta 90.00
_cell_angle_gamma 90.00
loop_
_atom_site_label
_atom_site_fract_x
_atom_site_fract_y
_atom_site_fract_z
Ca1 0.000 0.347 0.283
Ca2 0.000 0.653 0.717
Ca3 0.000 0.847 0.217
Ca4 0.000 0.153 0.783
Pm1 0.500 0.295 0.450
Pm2 0.500 0.705 0.550
Pm3 0.500 0.795 0.050
Pm4 0.500 0.205 0.950
Pm5 0.500 0.610 0.284
Pm6 0.500 0.390 0.716
Pm7 0.500 0.110 0.216
Pm8 0.500 0.890 0.784
Pm9 0.500 0.500 0.000
Pm10 0.500 0.000 0.500
Y1 0.000 0.073 0.360
Y2 0.000 0.927 0.640
Y3 0.000 0.573 0.140
Y4 0.000 0.427 0.860
Y5 0.500 0.318 0.117
Y6 0.500 0.682 0.883
Y7 0.500 0.818 0.383
Y8 0.500 0.182 0.617
Y9 0.000 0.556 0.424
Y10 0.000 0.444 0.576
Y11 0.000 0.056 0.076
Y12 0.000 0.944 0.924
# M_tot	0.0	μB/f.u.
# DOS at the Fermi energy	41.481	states/eV/cell
# raw total energy	-0.3666	Ry/atom
# energy of formation from the pure elements	13	kJ per mole of atoms
# symmetry	Pbam
# calculated volume	34.691	A^3/atom

=====

# CaPm2Y (PBE, relaxed)
data_CaPm2Y
_symmetry_space_group_name_H-M 'P 1'
_symmetry_Int_Tables_number 1
_symmetry_space_group_name_Hall 'P 1'
_cell_length_a 3.658
_cell_length_b 3.658
_cell_length_c 12.342
_cell_angle_alpha 81.48
_cell_angle_beta 81.48
_cell_angle_gamma 60.00
loop_
_atom_site_label
_atom_site_fract_x
_atom_site_fract_y
_atom_site_fract_z
Ca1 0.500 0.500 0.500
Pm1 0.746 0.746 0.763
Pm2 0.254 0.254 0.237
Y1 0.000 0.000 0.000
# M_tot	0.0	μB/f.u.
# DOS at the Fermi energy	5.448	states/eV/cell
# raw total energy	-0.3273	Ry/atom
# energy of formation from the pure elements	4	kJ per mole of atoms
# symmetry	R-3m
# calculated volume	35.221	A^3/atom
# energy relative to the lowest polymorph listed for this composition	0.000	eV per atom

=====

# CaPm4Y2 (PBE, relaxed)
data_CaPm4Y2
_symmetry_space_group_name_H-M 'P 1'
_symmetry_Int_Tables_number 1
_symmetry_space_group_name_Hall 'P 1'
_cell_length_a 3.642
_cell_length_b 3.642
_cell_length_c 21.146
_cell_angle_alpha 85.06
_cell_angle_beta 85.06
_cell_angle_gamma 60.00
loop_
_atom_site_label
_atom_site_fract_x
_atom_site_fract_y
_atom_site_fract_z
Y1 0.570 0.570 0.289
Y2 0.430 0.430 0.711
Ca1 0.000 0.000 0.000
Pm1 0.857 0.857 0.429
Pm2 0.718 0.718 0.847
Pm3 0.282 0.282 0.153
Pm4 0.143 0.143 0.571
# M_tot	0.0	μB/f.u.
# DOS at the Fermi energy	9.574	states/eV/cell
# raw total energy	-0.3543	Ry/atom
# energy of formation from the pure elements	3	kJ per mole of atoms
# symmetry	R-3m
# calculated volume	34.532	A^3/atom

=====

# CaPm2Y6 (PBE, relaxed)
data_CaPm2Y6
_symmetry_space_group_name_H-M 'P 1'
_symmetry_Int_Tables_number 1
_symmetry_space_group_name_Hall 'P 1'
_cell_length_a 9.283
_cell_length_b 9.283
_cell_length_c 11.485
_cell_angle_alpha 127.57
_cell_angle_beta 127.57
_cell_angle_gamma 59.29
loop_
_atom_site_label
_atom_site_fract_x
_atom_site_fract_y
_atom_site_fract_z
Ca1 0.988 0.012 0.250
Ca2 0.012 0.988 0.750
Pm1 0.189 0.518 0.166
Pm2 0.482 0.811 0.334
Pm3 0.811 0.482 0.834
Pm4 0.518 0.189 0.666
Y1 0.197 0.498 0.529
Y2 0.502 0.803 0.971
Y3 0.803 0.502 0.471
Y4 0.498 0.197 0.029
Y5 0.244 0.588 0.913
Y6 0.412 0.756 0.587
Y7 0.756 0.412 0.087
Y8 0.588 0.244 0.413
Y9 0.189 0.125 0.150
Y10 0.875 0.811 0.350
Y11 0.811 0.875 0.850
Y12 0.125 0.189 0.650
# M_tot	0.0	μB/f.u.
# DOS at the Fermi energy	27.121	states/eV/cell
# raw total energy	-0.3982	Ry/atom
# energy of formation from the pure elements	16	kJ per mole of atoms
# symmetry	C2/c
# calculated volume	33.688	A^3/atom

=====

# CaPm4Y (PBE, relaxed)
data_CaPm4Y
_symmetry_space_group_name_H-M 'P 1'
_symmetry_Int_Tables_number 1
_symmetry_space_group_name_Hall 'P 1'
_cell_length_a 6.769
_cell_length_b 6.769
_cell_length_c 6.769
_cell_angle_alpha 60.00
_cell_angle_beta 60.00
_cell_angle_gamma 60.00
loop_
_atom_site_label
_atom_site_fract_x
_atom_site_fract_y
_atom_site_fract_z
Y1 0.000 0.000 0.000
Ca1 0.250 0.250 0.250
Pm1 0.627 0.627 0.120
Pm2 0.627 0.120 0.627
Pm3 0.627 0.627 0.627
Pm4 0.120 0.627 0.627
# M_tot	0.0	μB/f.u.
# DOS at the Fermi energy	9.368	states/eV/cell
# raw total energy	-0.3218	Ry/atom
# energy of formation from the pure elements	19	kJ per mole of atoms
# symmetry	F-43m
# calculated volume	36.548	A^3/atom
# energy relative to the lowest polymorph listed for this composition	0.155	eV per atom

=====

# Ca2PmY (PBE, relaxed)
data_Ca2PmY
_symmetry_space_group_name_H-M 'P 1'
_symmetry_Int_Tables_number 1
_symmetry_space_group_name_Hall 'P 1'
_cell_length_a 4.171
_cell_length_b 4.171
_cell_length_c 8.352
_cell_angle_alpha 90.00
_cell_angle_beta 90.00
_cell_angle_gamma 90.00
loop_
_atom_site_label
_atom_site_fract_x
_atom_site_fract_y
_atom_site_fract_z
Y1 0.500 0.500 0.500
Ca1 0.000 0.000 0.746
Ca2 0.000 0.000 0.254
Pm1 0.500 0.500 0.000
# M_tot	0.0	μB/f.u.
# DOS at the Fermi energy	6.100	states/eV/cell
# raw total energy	-0.2686	Ry/atom
# energy of formation from the pure elements	14	kJ per mole of atoms
# symmetry	P4/mmm
# calculated volume	36.326	A^3/atom
# energy relative to the lowest polymorph listed for this composition	0.044	eV per atom

=====

# CaPm4Y (PBE, relaxed)
data_CaPm4Y
_symmetry_space_group_name_H-M 'P 1'
_symmetry_Int_Tables_number 1
_symmetry_space_group_name_Hall 'P 1'
_cell_length_a 3.630
_cell_length_b 5.213
_cell_length_c 11.059
_cell_angle_alpha 90.00
_cell_angle_beta 90.02
_cell_angle_gamma 89.99
loop_
_atom_site_label
_atom_site_fract_x
_atom_site_fract_y
_atom_site_fract_z
Ca1 0.000 0.500 0.000
Pm1 0.501 0.000 0.819
Pm2 0.499 0.000 0.181
Pm3 0.001 0.500 0.661
Pm4 0.999 0.500 0.339
Y1 0.500 0.000 0.500
# M_tot	0.0	μB/f.u.
# DOS at the Fermi energy	9.291	states/eV/cell
# raw total energy	-0.3332	Ry/atom
# energy of formation from the pure elements	4	kJ per mole of atoms
# symmetry	Pmmm
# calculated volume	34.881	A^3/atom
# energy relative to the lowest polymorph listed for this composition	0.000	eV per atom

=====

Q: energy of formation from the pure elements of number 1 (CaPm2Y)?
A: 12 kJ per mole of atoms

=====

Q: Look up the raw total energy of the fourth one.
A: -0.3666 Ry/atom

=====

Q: What is the formula in the third record?
A: CaPm14Y